Record 1
ScFe2Re after structural relaxation. Source: Alexandria via LeMat-Bulk, functional PBEsol. Values from VASP.

Quantum ESPRESSO input file:
```
&SYSTEM
  ibrav = 0, nat = 4, ntyp = 3
/
ATOMIC_SPECIES
Fe 55.84 Fe.upf
Sc 44.96 Sc.upf
Re 186.21 Re.upf
CELL_PARAMETERS angstrom
-0.205 -0.960 -2.458
3.718 -2.634 1.508
-4.206 -1.525 1.735
ATOMIC_POSITIONS angstrom
Fe -2.103 -0.763 0.868
Sc -0.347 -2.560 0.393
Re -0.102 -0.480 -1.229
Fe 1.859 -1.317 0.754
```

Energy relative to the elements = 0.12 eV/atom
Crystal system = monoclinic
Symmetry = C2/m, No. 12
E_tot = -9.349 eV/atom

Record 2
Sc2FeRe after structural relaxation. Source: Alexandria via LeMat-Bulk, functional PBEsol. Values from VASP.

Quantum ESPRESSO input file:
```
&SYSTEM
  ibrav = 0, nat = 4, ntyp = 3
/
ATOMIC_SPECIES
Sc 44.96 Sc.upf
Re 186.21 Re.upf
Fe 55.84 Fe.upf
CELL_PARAMETERS angstrom
3.070 0.000 0.000
0.000 4.451 0.000
-1.535 -2.226 4.646
ATOMIC_POSITIONS angstrom
Sc 0.000 2.226 2.171
Re 1.535 0.000 2.532
Sc 0.000 0.000 0.100
Fe 0.000 0.000 4.488
```

Energy relative to the elements = -0.03 eV/atom
Crystal system = orthorhombic
Symmetry = Imm2, No. 44
Relative energy among the computed polymorphs = 0 meV/atom
E_tot = -8.907 eV/atom

Record 3
Sc2FeRe after structural relaxation. Source: Alexandria via LeMat-Bulk, functional PBEsol. Values from VASP.

Quantum ESPRESSO input file:
```
&SYSTEM
  ibrav = 0, nat = 4, ntyp = 3
/
ATOMIC_SPECIES
Fe 55.84 Fe.upf
Sc 44.96 Sc.upf
Re 186.21 Re.upf
CELL_PARAMETERS angstrom
3.192 0.000 0.000
0.000 4.491 0.000
0.000 0.000 4.491
ATOMIC_POSITIONS angstrom
Fe 1.596 2.245 2.245
Sc 0.000 2.245 0.000
Re 1.596 0.000 0.000
Sc 0.000 0.000 2.245
```

Energy relative to the elements = 0.11 eV/atom
Crystal system = tetragonal
Symmetry = P4/mmm, No. 123
Relative energy among the computed polymorphs = 143 meV/atom
E_tot = -8.764 eV/atom

Record 4
ScFe2Re after structural relaxation. Source: Alexandria via LeMat-Bulk, functional PBEsol. Values from VASP.

Quantum ESPRESSO input file:
```
&SYSTEM
  ibrav = 0, nat = 4, ntyp = 3
/
ATOMIC_SPECIES
Fe 55.84 Fe.upf
Sc 44.96 Sc.upf
Re 186.21 Re.upf
CELL_PARAMETERS angstrom
2.907 0.000 0.000
0.000 2.907 0.000
0.000 0.000 6.560
ATOMIC_POSITIONS angstrom
Fe 1.454 1.454 1.561
Sc 1.454 1.454 5.023
Fe 0.000 0.000 0.261
Re 0.000 0.000 2.995
```

Energy relative to the elements = 0.05 eV/atom
Crystal system = tetragonal
Symmetry = P4mm, No. 99
E_tot = -9.418 eV/atom

no.,total magnetization (μB/f.u.)
1,3.201
2,0.026
3,1.809
4,3.524